{
  "formula": "SrLa2Mg",
  "functional": "PBE-GGA",
  "state": "optimized geometry",
  "dos_ef_per_ev_atom": 1.735,
  "e_form_ev_per_atom": 0.16,
  "cell": [[0.0000, 4.2057, 4.2057], [4.2057, 0.0000, 4.2057], [4.2057, 4.2057, 0.0000]],
  "species": ["Sr", "La", "La", "Mg"],
  "fractional_positions": [[0.0000, 0.0000, 0.0000], [0.2500, 0.2500, 0.2500], [0.5000, 0.5000, 0.5000], [0.7500, 0.7500, 0.7500]]
}

=====

{
  "formula": "SrLa2Mg",
  "functional": "PBE-GGA",
  "state": "optimized geometry",
  "dos_ef_per_ev_atom": 1.162,
  "e_form_ev_per_atom": 0.02,
  "cell": [[7.1023, -1.9259, 0.0000], [7.1023, 1.9259, 0.0000], [-2.4826, 0.0000, 5.4025]],
  "species": ["Sr", "La", "La", "Mg"],
  "fractional_positions": [[0.0000, 0.0000, 0.0000], [0.2183, 0.2183, 0.7183], [0.7817, 0.7817, 0.2817], [0.5000, 0.5000, 0.5000]]
}

=====

{
  "formula": "SrLa2Mg",
  "functional": "PBE-GGA",
  "state": "optimized geometry",
  "dos_ef_per_ev_atom": 1.282,
  "e_form_ev_per_atom": 0.27,
  "cell": [[-4.7241, 4.7241, 3.4242], [4.7241, -4.7241, 3.4242], [4.7241, 4.7241, -3.4242]],
  "species": ["Sr", "Sr", "La", "La", "La", "La", "Mg", "Mg"],
  "fractional_positions": [[0.0000, 0.0000, 0.0000], [0.7500, 0.2500, 0.5000], [0.1577, 0.6250, 0.0327], [0.3750, 0.4077, 0.5327], [0.5923, 0.1250, 0.9673], [0.8750, 0.8423, 0.4673], [0.2500, 0.7500, 0.5000], [0.5000, 0.5000, 0.0000]]
}

=====

{
  "formula": "SrLaMg14",
  "functional": "PBE-GGA",
  "state": "optimized geometry",
  "dos_ef_per_ev_atom": 0.340,
  "e_form_ev_per_atom": 0.03,
  "polymorph_energy_mev_per_atom": 0,
  "cell": [[6.7781, 0.0000, 0.0000], [-3.3891, 5.8700, 0.0000], [0.0000, 0.0000, 10.4998]],
  "species": ["Sr", "La", "Mg", "Mg", "Mg", "Mg", "Mg", "Mg", "Mg", "Mg", "Mg", "Mg", "Mg", "Mg", "Mg", "Mg"],
  "fractional_positions": [[0.0000, 0.0000, 0.0000], [0.0000, 0.0000, 0.5000], [0.0103, 0.5051, 0.5000], [0.0112, 0.5056, 0.0000], [0.1748, 0.3497, 0.2534], [0.1748, 0.3497, 0.7466], [0.1748, 0.8252, 0.2534], [0.1748, 0.8252, 0.7466], [0.4944, 0.5056, 0.0000], [0.4944, 0.9888, 0.0000], [0.4949, 0.5051, 0.5000], [0.4949, 0.9897, 0.5000], [0.6503, 0.8252, 0.2534], [0.6503, 0.8252, 0.7466], [0.6667, 0.3333, 0.2525], [0.6667, 0.3333, 0.7475]]
}

=====

{
  "formula": "SrLa2Mg",
  "functional": "PBE-GGA",
  "state": "optimized geometry",
  "dos_ef_per_ev_atom": 1.463,
  "e_form_ev_per_atom": 0.12,
  "cell": [[-2.6042, 2.6042, 5.3815], [2.6042, -2.6042, 5.3815], [2.6042, 2.6042, -5.3815]],
  "species": ["Sr", "La", "La", "Mg"],
  "fractional_positions": [[0.0000, 0.0000, 0.0000], [0.2500, 0.7500, 0.5000], [0.5000, 0.5000, 0.0000], [0.7500, 0.2500, 0.5000]]
}

=====

{
  "formula": "Sr5LaMg6",
  "functional": "PBE-GGA",
  "state": "optimized geometry",
  "dos_ef_per_ev_atom": 0.953,
  "e_form_ev_per_atom": -0.06,
  "cell": [[9.3138, -4.0956, 0.0000], [9.3138, 4.0956, 0.0000], [-1.8649, 0.0000, 5.6035]],
  "species": ["Sr", "Sr", "Sr", "Sr", "Sr", "La", "Mg", "Mg", "Mg", "Mg", "Mg", "Mg"],
  "fractional_positions": [[0.0000, 0.0000, 0.0000], [0.1639, 0.1639, 0.6644], [0.3298, 0.3298, 0.3289], [0.6702, 0.6702, 0.6711], [0.8361, 0.8361, 0.3356], [0.5000, 0.5000, 0.0000], [0.0998, 0.5755, 0.8367], [0.2703, 0.7297, 0.5000], [0.4245, 0.9002, 0.1633], [0.5755, 0.0998, 0.8367], [0.7297, 0.2703, 0.5000], [0.9002, 0.4245, 0.1633]]
}

=====

{
  "formula": "SrLa3Mg",
  "functional": "PBE-GGA",
  "state": "optimized geometry",
  "dos_ef_per_ev_atom": 1.792,
  "e_form_ev_per_atom": 0.41,
  "polymorph_energy_mev_per_atom": 0,
  "cell": [[6.0588, 0.0000, 0.0000], [0.0000, 6.0588, 0.0000], [0.0000, 0.0000, 6.0588]],
  "species": ["Sr", "La", "La", "La", "Mg"],
  "fractional_positions": [[0.0000, 0.0000, 0.0000], [0.0000, 0.5000, 0.5000], [0.5000, 0.0000, 0.5000], [0.5000, 0.5000, 0.0000], [0.5000, 0.5000, 0.5000]]
}

=====

{
  "formula": "Sr2LaMg",
  "functional": "PBE-GGA",
  "state": "optimized geometry",
  "dos_ef_per_ev_atom": 1.178,
  "e_form_ev_per_atom": 0.13,
  "cell": [[3.8166, -5.4842, 0.0000], [3.8166, 5.4842, 0.0000], [-0.0097, 0.0000, 3.8902]],
  "species": ["Sr", "Sr", "La", "Mg"],
  "fractional_positions": [[0.0000, 0.5000, 0.0000], [0.5000, 0.0000, 0.0000], [0.0000, 0.0000, 0.5000], [0.5000, 0.5000, 0.5000]]
}

=====

{
  "formula": "SrLaMg10",
  "functional": "PBE-GGA",
  "state": "optimized geometry",
  "dos_ef_per_ev_atom": 0.620,
  "e_form_ev_per_atom": -0.06,
  "cell": [[5.0130, 0.0000, 0.0000], [0.0000, 6.1034, 0.0000], [0.0000, 0.0000, 10.6369]],
  "species": ["Sr", "La", "Mg", "Mg", "Mg", "Mg", "Mg", "Mg", "Mg", "Mg", "Mg", "Mg"],
  "fractional_positions": [[0.0000, 0.0000, 0.0000], [0.0000, 0.5000, 0.5000], [0.0000, 0.0000, 0.3358], [0.0000, 0.0000, 0.6642], [0.0000, 0.5000, 0.1713], [0.0000, 0.5000, 0.8287], [0.5000, 0.0000, 0.5000], [0.5000, 0.2545, 0.2575], [0.5000, 0.2545, 0.7425], [0.5000, 0.5000, 0.0000], [0.5000, 0.7455, 0.2575], [0.5000, 0.7455, 0.7425]]
}

=====

{
  "formula": "SrLa2Mg",
  "functional": "PBE-GGA",
  "state": "optimized geometry",
  "dos_ef_per_ev_atom": 1.468,
  "e_form_ev_per_atom": 0.10,
  "cell": [[4.0200, 0.0000, 0.0000], [0.0000, 5.9313, 0.0000], [0.0000, 0.0000, 6.1464]],
  "species": ["Sr", "La", "La", "Mg"],
  "fractional_positions": [[0.0000, 0.0000, 0.0000], [0.0000, 0.5000, 0.5000], [0.5000, 0.0000, 0.5000], [0.5000, 0.5000, 0.0000]]
}

=====

{
  "formula": "SrLa2Mg3",
  "functional": "PBE-GGA",
  "state": "optimized geometry",
  "dos_ef_per_ev_atom": 0.864,
  "e_form_ev_per_atom": -0.09,
  "cell": [[4.0326, 0.0000, 0.0000], [0.0000, 4.0326, 0.0000], [0.0000, 0.0000, 12.1487]],
  "species": ["Sr", "La", "La", "Mg", "Mg", "Mg"],
  "fractional_positions": [[0.0000, 0.0000, 0.0000], [0.0000, 0.0000, 0.3432], [0.0000, 0.0000, 0.6568], [0.5000, 0.5000, 0.1835], [0.5000, 0.5000, 0.5000], [0.5000, 0.5000, 0.8165]]
}

=====

{
  "formula": "Sr2LaMg",
  "functional": "PBE-GGA",
  "state": "optimized geometry",
  "dos_ef_per_ev_atom": 1.323,
  "e_form_ev_per_atom": 0.12,
  "cell": [[0.0000, 4.3044, 4.3044], [4.3044, 0.0000, 4.3044], [4.3044, 4.3044, 0.0000]],
  "species": ["Sr", "Sr", "La", "Mg"],
  "fractional_positions": [[0.0000, 0.0000, 0.0000], [0.2500, 0.2500, 0.2500], [0.7500, 0.7500, 0.7500], [0.5000, 0.5000, 0.5000]]
}